[1]
A plane-wave DFT calculation with SCAN was carried out for a crystal of MnPt5 relaxed with PBEsol.

Unit cell a=2.7593 b=4.5656 c=7.1657 alpha=90.00 beta=101.10 gamma=90.00
Site moments in Bohr magnetons follow the coordinates.
Positions (direct):
1 Pt 0.2188 0.5000 0.4377  0.20
2 Pt 0.8857 0.5000 0.7714  0.20
3 Pt 0.3427 0.0000 0.6853  0.20
4 Pt 0.5519 0.5000 0.1038  0.16
5 Pt 0.6651 0.0000 0.3302  0.16
6 Mn 0.0025 0.0000 0.0049  4.02

Values from the calculation:
Density of states at the Fermi level = 1.14 states/eV per atom
ΔE_f = -0.256 eV/atom



[2]
A plane-wave DFT calculation with SCAN was carried out for a crystal of MnPt2 relaxed with PBEsol.

Unit cell a=5.1716 b=5.1716 c=5.1716 alpha=60.00 beta=60.00 gamma=60.00
Site moments in Bohr magnetons follow the coordinates.
Positions (direct):
1 Mn 0.0000 0.0000 0.0000  4.34
2 Mn 0.2500 0.2500 0.2500  4.34
3 Pt 0.6250 0.1250 0.6250  0.05
4 Pt 0.1250 0.6250 0.6250  0.05
5 Pt 0.6250 0.6250 0.6250  0.05
6 Pt 0.6250 0.6250 0.1250  0.05

Values from the calculation:
Density of states at the Fermi level = 0.72 states/eV per atom
ΔE_f = -0.403 eV/atom



[3]
A plane-wave DFT calculation with SCAN was carried out for a crystal of Mn3Pt relaxed with PBEsol.

Unit cell a=4.0030 b=4.4673 c=5.1168 alpha=90.00 beta=90.00 gamma=90.00
Site moments in Bohr magnetons follow the coordinates.
Positions (direct):
1 Mn 0.0000 0.1543 0.7585  2.96
2 Mn 0.0000 0.7000 0.5000  -3.09
3 Mn 0.0000 0.1543 0.2415  2.96
4 Mn 0.5000 0.3000 0.0000  -3.09
5 Mn 0.5000 0.8457 0.2585  2.96
6 Mn 0.5000 0.8457 0.7415  2.96
7 Pt 0.5000 0.3404 0.5000  0.05
8 Pt 0.0000 0.6596 0.0000  0.05

Values from the calculation:
Density of states at the Fermi level = 0.55 states/eV per atom
ΔE_f = -0.277 eV/atom



[4]
A plane-wave DFT calculation with SCAN was carried out for a crystal of Mn3Pt relaxed with PBEsol.

Unit cell a=2.5860 b=3.5322 c=5.2008 alpha=90.00 beta=90.00 gamma=90.00
Site moments in Bohr magnetons follow the coordinates.
Positions (direct):
1 Pt 0.5000 0.5000 0.0000  0.10
2 Mn 0.5000 0.5000 0.5000  -2.98
3 Mn 0.0000 0.0000 0.2754  2.77
4 Mn 0.0000 0.0000 0.7246  2.77

Values from the calculation:
Density of states at the Fermi level = 0.85 states/eV per atom
ΔE_f = -0.321 eV/atom



[5]
A plane-wave DFT calculation with SCAN was carried out for a crystal of Mn2RePt relaxed with PBEsol.

Unit cell a=2.6351 b=4.5143 c=4.5143 alpha=107.74 beta=90.00 gamma=90.00
Site moments in Bohr magnetons follow the coordinates.
Positions (direct):
1 Re 0.5000 0.5000 0.5000  -0.70
2 Pt 0.5000 0.0000 0.0000  0.03
3 Mn 0.0000 0.5000 0.0000  3.01
4 Mn 0.0000 0.0000 0.5000  3.01

Values from the calculation:
Density of states at the Fermi level = 0.93 states/eV per atom
ΔE_f = -0.163 eV/atom



[6]
A plane-wave DFT calculation with SCAN was carried out for a crystal of Mn2RePt relaxed with PBEsol.

Unit cell a=2.6262 b=4.4795 c=4.6539 alpha=99.15 beta=90.00 gamma=107.05
Site moments in Bohr magnetons follow the coordinates.
Positions (direct):
1 Pt 0.0000 0.0000 0.5000  0.11
2 Mn 0.2496 0.4991 0.2381  3.17
3 Mn 0.7504 0.5009 0.7619  3.17
4 Re 0.5000 0.0000 0.0000  -0.44

Values from the calculation:
Density of states at the Fermi level = 0.61 states/eV per atom
ΔE_f = -0.174 eV/atom



[7]
A plane-wave DFT calculation with SCAN was carried out for a crystal of MnPtRh2 relaxed with PBEsol.

Unit cell a=4.2915 b=4.2915 c=4.2915 alpha=60.00 beta=60.00 gamma=60.00
Site moments in Bohr magnetons follow the coordinates.
Positions (direct):
1 Pt 0.5000 0.5000 0.5000  -0.27
2 Rh 0.7500 0.7500 0.7500  -0.48
3 Rh 0.2500 0.2500 0.2500  -0.48
4 Mn 0.0000 0.0000 0.0000  3.98

Values from the calculation:
Density of states at the Fermi level = 0.58 states/eV per atom
ΔE_f = -0.132 eV/atom



[8]
A plane-wave DFT calculation with SCAN was carried out for a crystal of MnPt2Rh2 relaxed with PBEsol.

Unit cell a=3.6398 b=3.6398 c=6.6175 alpha=105.96 beta=105.96 gamma=90.00
Site moments in Bohr magnetons follow the coordinates.
Positions (direct):
1 Rh 0.5961 0.5961 0.1922  -0.25
2 Rh 0.4039 0.4039 0.8078  -0.25
3 Pt 0.2500 0.7500 0.5000  -0.20
4 Pt 0.7500 0.2500 0.5000  -0.20
5 Mn 0.0000 0.0000 0.0000  4.25

Values from the calculation:
Density of states at the Fermi level = 0.92 states/eV per atom
ΔE_f = 0.117 eV/atom